Material: CuB4Mo
Method: DFT, PBE
State: optimized geometry

- E above lowest polymorph: 0.0 kJ/mol of atoms
- Magnetic moment: 0.000 μB per atom
- SG: P6/mmm (191)

Cell and atoms, written as extended XYZ:
```
6
Lattice="-1.961 2.224 0.172 -0.719 -2.508 -1.419 -2.499 -2.667 5.979" Properties=species:S:1:pos:R:3 pbc="T T T"
B -2.194 -0.044 1.191
B -3.399 -1.330 4.072
B -2.985 -2.907 3.541
B -1.781 -1.621 0.660
Mo -1.249 -1.334 2.989
Cu 0.000 0.000 0.000
```

Material: Hf2SnHg
Method: DFT, PBE
State: optimized geometry

- Total energy: -22.74 eV/cell
- Magnetic moment: 0.401 μB per atom
- SG: F-43m (216)

Cell and atoms, written as extended XYZ:
```
4
Lattice="4.888 -0.519 1.161 1.597 -4.140 2.413 2.824 -3.409 -2.431" Properties=species:S:1:pos:R:3 pbc="T T T"
Hg 2.327 -2.017 0.285
Hf 6.982 -6.051 0.856
Sn 4.655 -4.034 0.571
Hf 0.000 0.000 0.000
```

Material: TmTaIn
Method: DFT, PBE
State: optimized geometry

- Total energy: -15.74 eV/cell
- Magnetic moment: 0.935 μB per atom
- SG: F-43m (216)

Cell and atoms, written as extended XYZ:
```
3
Lattice="4.085 -2.469 1.185 -0.267 -4.759 1.210 1.781 -3.418 -3.055" Properties=species:S:1:pos:R:3 pbc="T T T"
In 1.400 -2.662 -0.165
Ta 4.199 -7.985 -0.495
Tm 0.000 0.000 0.000
```